# 1
Material: Pm2Nd2Ni15
Method: DFT, PBE
State: relaxed Values from VASP.

Geometry as Quantum ESPRESSO input:
```
&SYSTEM
  ibrav = 0, nat = 19, ntyp = 3
/
ATOMIC_SPECIES
Pm 145.00 Pm.upf
Nd 144.24 Nd.upf
Ni 58.69 Ni.upf
CELL_PARAMETERS angstrom
-1.641 6.329 -0.407
-1.953 0.749 6.209
5.604 2.459 2.338
ATOMIC_POSITIONS crystal
Pm 0.361 0.361 0.361
Pm 0.639 0.639 0.639
Nd 0.112 0.112 0.112
Nd 0.888 0.888 0.888
Ni 0.500 0.000 0.000
Ni 0.000 0.000 0.500
Ni 0.000 0.500 0.000
Ni 0.000 0.683 0.317
Ni 0.683 0.317 0.000
Ni 0.317 0.000 0.683
Ni 0.317 0.683 0.000
Ni 0.683 0.000 0.317
Ni 0.000 0.317 0.683
Ni 0.172 0.652 0.652
Ni 0.652 0.652 0.172
Ni 0.652 0.172 0.652
Ni 0.828 0.348 0.348
Ni 0.348 0.348 0.828
Ni 0.348 0.828 0.348
```

## Properties
- SG = R-3m, No. 166
- DFT formation energy (eV/atom) = -0.1474
- total moment (μB per cell) = 2.10

***

# 2
Material: Ir2RhCl
Method: DFT, PBE
State: relaxed Values from VASP.

Geometry as Quantum ESPRESSO input:
```
&SYSTEM
  ibrav = 0, nat = 4, ntyp = 3
/
ATOMIC_SPECIES
Cl 35.45 Cl.upf
Ir 192.22 Ir.upf
Rh 102.91 Rh.upf
CELL_PARAMETERS angstrom
-3.303 1.352 -3.055
0.935 -3.750 -2.670
-1.878 -1.455 1.386
ATOMIC_POSITIONS crystal
Cl 0.000 0.500 0.500
Ir 0.000 0.000 0.000
Ir 0.500 0.500 0.000
Rh 0.500 0.000 0.500
```

## Properties
- energy above the lowest structure with this stoichiometry (eV/atom) = 0.5815
- SG = P4/mmm, No. 123
- total moment (μB per cell) = 0.00
- formation energy from raw total energies (eV per atom) = 0.9513

***

# 3
Material: Tl5Sb2Au
Method: DFT, PBE
State: relaxed Values from VASP.

Geometry as Quantum ESPRESSO input:
```
&SYSTEM
  ibrav = 0, nat = 16, ntyp = 3
/
ATOMIC_SPECIES
Tl 204.38 Tl.upf
Sb 121.76 Sb.upf
Au 196.97 Au.upf
CELL_PARAMETERS angstrom
7.625 0.000 -3.262
-0.358 6.940 -0.836
-0.415 -0.182 9.573
ATOMIC_POSITIONS crystal
Tl 0.553 0.459 0.829
Tl 0.013 0.750 0.000
Tl 0.987 0.250 0.000
Tl 0.846 0.669 0.561
Tl 0.154 0.331 0.439
Tl 0.715 0.169 0.561
Tl 0.285 0.831 0.439
Tl 0.447 0.541 0.171
Tl 0.276 0.959 0.829
Tl 0.724 0.041 0.171
Sb 0.144 0.439 0.796
Sb 0.652 0.939 0.796
Sb 0.856 0.561 0.204
Sb 0.348 0.061 0.204
Au 0.000 0.000 0.500
Au 0.500 0.500 0.500
```

## Properties
- SG = C2/c, No. 15
- total moment (μB per cell) = 0.00
- formation energy from raw total energies (eV per atom) = 0.0138

***

# 4
Material: ReAgOs2
Method: DFT, PBE
State: relaxed Values from VASP.

Geometry as Quantum ESPRESSO input:
```
&SYSTEM
  ibrav = 0, nat = 4, ntyp = 3
/
ATOMIC_SPECIES
Re 186.21 Re.upf
Os 190.23 Os.upf
Ag 107.87 Ag.upf
CELL_PARAMETERS angstrom
2.755 0.000 0.000
0.000 3.911 0.000
0.000 0.000 5.653
ATOMIC_POSITIONS crystal
Re 0.500 0.500 0.250
Os 0.000 0.000 0.020
Os 0.000 0.000 0.480
Ag 0.500 0.500 0.750
```

## Properties
- energy above the lowest structure with this stoichiometry (eV/atom) = 0.2322
- SG = Pmmm, No. 47
- DFT formation energy (eV/atom) = 0.4981
- total moment (μB per cell) = 0.00